ScTa2Ge after structural relaxation, computed with GGA-PBE.

abc: 7.772 7.772 6.107
angles: 50.48 50.48 90.00
Element x y z (fractional)
Sc 0.500 0.500 0.000
Sc 0.250 0.750 0.500
Ge 0.000 0.000 0.000
Ge 0.750 0.250 0.500
Ta 0.671 0.125 0.250
Ta 0.079 0.625 0.250
Ta 0.375 0.329 0.750
Ta 0.875 0.921 0.750

Results
space group: I-42d, No. 122
DFT formation energy: 0.33 eV/atom
electronic total energy: -8.3379 eV/atom